1.
The following is a GGA-PBE calculation of TbBe3Ir after structural relaxation, from Alexandria. Values from VASP.

```
&SYSTEM
  ibrav = 0, nat = 5, ntyp = 3
/
ATOMIC_SPECIES
Tb 158.93 Tb.upf
Be 9.01 Be.upf
Ir 192.22 Ir.upf
ATOMIC_POSITIONS crystal
Tb 0.000 0.000 0.000
Be 0.000 0.500 0.500
Be 0.500 0.000 0.500
Be 0.500 0.500 0.000
Ir 0.500 0.500 0.500
CELL_PARAMETERS angstrom
4.266 0.000 0.000
0.000 4.266 0.000
0.000 0.000 4.266
```

## Properties
Space-group type = Pm-3m (221)

=====

2.
The following is a GGA-PBE calculation of CePu3Pd4 after structural relaxation, from Alexandria. Values from VASP.

```
&SYSTEM
  ibrav = 0, nat = 8, ntyp = 3
/
ATOMIC_SPECIES
Ce 140.12 Ce.upf
Pu 244.00 Pu.upf
Pd 106.42 Pd.upf
ATOMIC_POSITIONS crystal
Ce 0.000 0.000 0.000
Pu 0.000 0.000 0.500
Pu 0.000 0.500 0.252
Pu 0.000 0.500 0.748
Pd 0.500 0.000 0.248
Pd 0.500 0.000 0.752
Pd 0.500 0.500 0.000
Pd 0.500 0.500 0.500
CELL_PARAMETERS angstrom
3.195 0.000 0.000
0.000 5.235 0.000
0.000 0.000 10.462
```

## Properties
Space-group type = Pmmm (47)

=====

3.
The following is a GGA-PBE calculation of DyAsPt after structural relaxation, from Alexandria. Values from VASP.

```
&SYSTEM
  ibrav = 0, nat = 6, ntyp = 3
/
ATOMIC_SPECIES
Dy 162.50 Dy.upf
As 74.92 As.upf
Pt 195.08 Pt.upf
ATOMIC_POSITIONS crystal
Dy 0.114 0.114 0.114
Dy 0.886 0.886 0.886
As 0.387 0.387 0.387
As 0.613 0.613 0.613
Pt 0.256 0.256 0.256
Pt 0.744 0.744 0.744
CELL_PARAMETERS angstrom
2.380 1.374 6.965
-2.380 1.374 6.965
0.000 -2.748 6.965
```

## Properties
Space-group type = R-3m (166)

=====

Energy of formation across the listed records, respectively: -308.0 -452.2 -814.2 meV per atom.